1.
Entry from Alexandria via LeMat-Bulk: Y2MgZr2 after structural relaxation (PBE-GGA).

Calculated values
Spin magnetization ... 0.0000 μB per atom
Electronic total energy ... -6.100 eV per atom
Energy of formation from the pure elements ... 224.3 meV/atom
N(E_F) ... 6.22 states/eV/f.u.

Cell: 8.2495 8.2495 3.9777 Å, 90.00 90.00 90.00°
Last column: nearest neighbours and their distance in Å.
Space group P4/mbm (No. 127)
Inequivalent atoms, fractional coordinates:
Y1 0.1657 0.3343 0.0000 [4 per cell]  6 Zr 3.11-3.16
Mg1 0.0000 0.0000 0.5000 [2 per cell]  4 Zr 3.24
Zr1 0.1295 0.6295 0.5000 [4 per cell]  1 Zr 3.02, 6 Y 3.11-3.16, 2 Mg 3.24

2.
Entry from Alexandria via LeMat-Bulk: Li3LaC after structural relaxation (PBE-GGA).

Calculated values
Spin magnetization ... 0.0000 μB per atom
Energy above the lowest structure with this stoichiometry ... 0 meV/atom
Electronic total energy ... -3.561 eV per atom
Energy of formation from the pure elements ... 418.0 meV/atom
N(E_F) ... 0.90 states/eV/f.u.

Cell: 4.2336 4.2336 4.2336 Å, 90.00 90.00 90.00°
Last column: nearest neighbours and their distance in Å.
Space group Pm-3m (No. 221)
Inequivalent atoms, fractional coordinates:
Li1 0.0000 0.0000 0.5000 [3 per cell]  2 C 2.12
La1 0.5000 0.5000 0.5000 [1 per cell]  12 Li 2.99
C1 0.0000 0.0000 0.0000 [1 per cell]  6 Li 2.12

3.
Entry from Alexandria via LeMat-Bulk: MgHg2Te3 after structural relaxation (PBE-GGA).

Calculated values
Spin magnetization ... 0.0000 μB per atom
Electronic total energy ... -2.330 eV per atom
N(E_F) ... 0.20 states/eV/f.u.

Cell: 8.0712 13.9933 8.0965 Å, 90.00 109.58 90.00°
Last column: nearest neighbours and their distance in Å.
Space group Cc (No. 9)
Inequivalent atoms, fractional coordinates:
Mg1 0.0000 0.0826 0.0000 [4 per cell]  4 Te 2.81-2.82
Hg1 0.0010 0.4173 0.0008 [4 per cell]  4 Te 2.87-2.88
Hg2 0.0024 0.2483 0.5021 [4 per cell]  4 Te 2.87-2.88
Te1 0.3714 0.0844 0.1240 [4 per cell]  1 Mg 2.82, 3 Hg 2.87-2.88
Te2 0.3799 0.2525 0.6253 [4 per cell]  1 Mg 2.82, 3 Hg 2.87-2.88
Te3 0.3799 0.4199 0.1306 [4 per cell]  2 Mg 2.81-2.82, 2 Hg 2.88

4.
Entry from Alexandria via LeMat-Bulk: DyHo2Tm6Sc3 after structural relaxation (PBE-GGA).

Calculated values
Spin magnetization ... 0.0000 μB per atom
Electronic total energy ... -4.921 eV per atom
Energy of formation from the pure elements ... 43.8 meV/atom
N(E_F) ... 18.60 states/eV/f.u.

Cell: 5.9792 10.3464 11.3735 Å, 90.00 100.06 90.00°
Last column: nearest neighbours and their distance in Å.
Space group C2/m (No. 12)
Inequivalent atoms, fractional coordinates:
Dy1 0.0000 0.0000 0.0000 [2 per cell]  6 Ho 3.45, 6 Tm 3.51
Ho1 0.0000 0.3334 0.0000 [4 per cell]  3 Ho 3.45, 3 Dy 3.45, 6 Tm 3.51
Tm1 0.2471 0.0000 0.7415 [4 per cell]  3 Sc 3.36, 6 Tm 3.45, 1 Dy 3.51, 2 Ho 3.51
Tm2 0.2470 0.3333 0.7416 [8 per cell]  3 Sc 3.36, 6 Tm 3.45, 2 Ho 3.51, 1 Dy 3.51
Sc1 0.0000 0.1668 0.5000 [4 per cell]  6 Tm 3.36, 6 Sc 3.45
Sc2 0.0000 0.5000 0.5000 [2 per cell]  6 Tm 3.36, 6 Sc 3.45